# 1
# GGA-PBE MgPdSO, optimized geometry
data_MgPdSO
_space_group_name_H-M_alt 'P 4/n m m'
_space_group_IT_number 129
_cell_length_a 3.9041
_cell_length_b 3.9041
_cell_length_c 9.2468
_cell_angle_alpha 90.00
_cell_angle_beta 90.00
_cell_angle_gamma 90.00
loop_
_space_group_symop_operation_xyz
'x,y,z'
'-x,-y,-z'
'-y+1/2,x,z'
'y+1/2,-x,-z'
'-x+1/2,-y+1/2,z'
'x+1/2,y+1/2,-z'
'y,-x+1/2,z'
'-y,x+1/2,-z'
'x+1/2,-y,-z'
'-x+1/2,y,z'
'-y,-x,-z'
'y,x,z'
'-x,y+1/2,-z'
'x,-y+1/2,z'
'y+1/2,x+1/2,-z'
'-y+1/2,-x+1/2,z'
loop_
_atom_site_label
_atom_site_fract_x
_atom_site_fract_y
_atom_site_fract_z
Mg1 0.2500 0.2500 0.1271
Pd1 0.2500 0.2500 0.5668
S1 0.2500 0.2500 0.8586
O1 0.2500 0.7500 0.5000
# Volume (Å³ per cell): 140.9
# Calculated total energy (eV/cell): -36.0


# 2
# GGA-PBE MgPdSO, optimized geometry
data_MgPdSO
_space_group_name_H-M_alt 'P 4/n m m'
_space_group_IT_number 129
_cell_length_a 4.5571
_cell_length_b 4.5571
_cell_length_c 6.7377
_cell_angle_alpha 90.00
_cell_angle_beta 90.00
_cell_angle_gamma 90.00
loop_
_space_group_symop_operation_xyz
'x,y,z'
'-x,-y,-z'
'-y+1/2,x,z'
'y+1/2,-x,-z'
'-x+1/2,-y+1/2,z'
'x+1/2,y+1/2,-z'
'y,-x+1/2,z'
'-y,x+1/2,-z'
'x+1/2,-y,-z'
'-x+1/2,y,z'
'-y,-x,-z'
'y,x,z'
'-x,y+1/2,-z'
'x,-y+1/2,z'
'y+1/2,x+1/2,-z'
'-y+1/2,-x+1/2,z'
loop_
_atom_site_label
_atom_site_fract_x
_atom_site_fract_y
_atom_site_fract_z
Mg1 0.2500 0.2500 0.1788
Pd1 0.2500 0.2500 0.6026
S1 0.2500 0.7500 0.5000
O1 0.2500 0.2500 0.9080
# Volume (Å³ per cell): 139.9
# Calculated total energy (eV/cell): -35.8


# 3
# GGA-PBE MgPdSO, optimized geometry
data_MgPdSO
_space_group_name_H-M_alt 'P c a 21'
_space_group_IT_number 29
_cell_length_a 5.3481
_cell_length_b 8.3836
_cell_length_c 5.2218
_cell_angle_alpha 90.00
_cell_angle_beta 90.00
_cell_angle_gamma 90.00
loop_
_space_group_symop_operation_xyz
'x,y,z'
'-x,-y,z+1/2'
'-x+1/2,y,z+1/2'
'x+1/2,-y,z'
loop_
_atom_site_label
_atom_site_fract_x
_atom_site_fract_y
_atom_site_fract_z
Mg1 0.0984 0.0941 0.0000
Pd1 0.0041 0.3531 0.6187
S1 0.0173 0.6326 0.6324
O1 0.0632 0.0940 0.6321
# Volume (Å³ per cell): 234.1
# Calculated total energy (eV/cell): -82.0


# 4
# GGA-PBE MgPdSO, optimized geometry
data_MgPdSO
_space_group_name_H-M_alt 'P 21 21 21'
_space_group_IT_number 19
_cell_length_a 5.7315
_cell_length_b 5.9037
_cell_length_c 8.4166
_cell_angle_alpha 90.00
_cell_angle_beta 90.00
_cell_angle_gamma 90.00
loop_
_space_group_symop_operation_xyz
'x,y,z'
'-x+1/2,-y,z+1/2'
'x+1/2,-y+1/2,-z'
'-x,y+1/2,-z+1/2'
loop_
_atom_site_label
_atom_site_fract_x
_atom_site_fract_y
_atom_site_fract_z
Mg1 0.0612 0.1992 0.0992
Pd1 0.0023 0.4535 0.7457
S1 0.1906 0.8026 0.1790
O1 0.1125 0.7077 0.5986
# Volume (Å³ per cell): 284.8
# Calculated total energy (eV/cell): -81.1


# 5
# GGA-PBE MgPdSO, optimized geometry
data_MgPdSO
_space_group_name_H-M_alt 'C m c m'
_space_group_IT_number 63
_space_group_name_Hall '-C 2c 2'
_cell_length_a 2.8721
_cell_length_b 14.7398
_cell_length_c 5.2943
_cell_angle_alpha 90.00
_cell_angle_beta 90.00
_cell_angle_gamma 90.00
loop_
_atom_site_label
_atom_site_fract_x
_atom_site_fract_y
_atom_site_fract_z
Mg1 0.0000 0.0247 0.2500
Pd1 0.0000 0.3289 0.2500
S1 0.0000 0.3017 0.7500
O1 0.0000 0.5000 0.0000
# Volume (Å³ per cell): 224.1
# Calculated total energy (eV/cell): -79.5


# 6
# GGA-PBE MgPdSO, optimized geometry
data_MgPdSO
_space_group_name_H-M_alt 'P 21 21 21'
_space_group_IT_number 19
_cell_length_a 5.6168
_cell_length_b 5.7118
_cell_length_c 7.8290
_cell_angle_alpha 90.00
_cell_angle_beta 90.00
_cell_angle_gamma 90.00
loop_
_space_group_symop_operation_xyz
'x,y,z'
'-x+1/2,-y,z+1/2'
'x+1/2,-y+1/2,-z'
'-x,y+1/2,-z+1/2'
loop_
_atom_site_label
_atom_site_fract_x
_atom_site_fract_y
_atom_site_fract_z
Mg1 0.0241 0.2248 0.1742
Pd1 0.0106 0.2420 0.7333
S1 0.2145 0.9994 0.9369
O1 0.2273 0.4984 0.2465
# Volume (Å³ per cell): 251.2
# Calculated total energy (eV/cell): -79.5


# 7
# GGA-PBE MgPdSO, optimized geometry
data_MgPdSO
_space_group_name_H-M_alt 'P b c a'
_space_group_IT_number 61
_cell_length_a 6.9271
_cell_length_b 9.4983
_cell_length_c 7.1097
_cell_angle_alpha 90.00
_cell_angle_beta 90.00
_cell_angle_gamma 90.00
loop_
_space_group_symop_operation_xyz
'x,y,z'
'-x,-y,-z'
'-x+1/2,-y,z+1/2'
'x+1/2,y,-z+1/2'
'x+1/2,-y+1/2,-z'
'-x+1/2,y+1/2,z'
'-x,y+1/2,-z+1/2'
'x,-y+1/2,z+1/2'
loop_
_atom_site_label
_atom_site_fract_x
_atom_site_fract_y
_atom_site_fract_z
Mg1 0.2491 0.0461 0.0048
Pd1 0.0005 0.7473 0.2497
S1 0.0003 0.0042 0.7494
O1 0.2493 0.2482 0.0898
# Volume (Å³ per cell): 467.8
# Calculated total energy (eV/cell): -155.8


# 8
# GGA-PBE MgPdSO, optimized geometry
data_MgPdSO
_space_group_name_H-M_alt 'P 63 m c'
_space_group_IT_number 186
_space_group_name_Hall 'P 6c -2c'
_cell_length_a 3.3584
_cell_length_b 3.3584
_cell_length_c 12.6501
_cell_angle_alpha 90.00
_cell_angle_beta 90.00
_cell_angle_gamma 120.00
loop_
_atom_site_label
_atom_site_fract_x
_atom_site_fract_y
_atom_site_fract_z
Mg1 0.3333 0.6667 0.0000
Pd1 0.0000 0.0000 0.2909
S1 0.3333 0.6667 0.6921
O1 0.0000 0.0000 0.4739
# Volume (Å³ per cell): 123.6
# Calculated total energy (eV/cell): -40.4